Entry 1:
The following is a DFT calculation (PBE) of crystalline ThInBi2 at its relaxed geometry.

- Density of states at the Fermi level: 3.54 states/eV/f.u.
- Polymorph energy (0 for the lowest one): 0.207 eV/atom
- Formation enthalpy at 0 K: -0.601 eV/f.u.
- E_tot: -4.63 eV/atom

a = 7.9127 Å, b = 7.9127 Å, c = 7.9127 Å
α = 90.00°, β = 90.00°, γ = 90.00°
Last column: nearest neighbours and their distance in Å.
Positions (direct):
Th  0.0000  0.0000  0.0000  8 Bi 3.43
Th  0.0000  0.5000  0.5000  8 Bi 3.43
Th  0.5000  0.0000  0.5000  8 Bi 3.43
Th  0.5000  0.5000  0.0000  8 Bi 3.43
In  0.0000  0.0000  0.5000  8 Bi 3.43
In  0.0000  0.5000  0.0000  8 Bi 3.43
In  0.5000  0.0000  0.0000  8 Bi 3.43
In  0.5000  0.5000  0.5000  8 Bi 3.43
Bi  0.2500  0.2500  0.2500  4 In 3.43, 4 Th 3.43
Bi  0.2500  0.2500  0.7500  4 In 3.43, 4 Th 3.43
Bi  0.2500  0.7500  0.2500  4 In 3.43, 4 Th 3.43
Bi  0.2500  0.7500  0.7500  4 In 3.43, 4 Th 3.43
Bi  0.7500  0.2500  0.2500  4 In 3.43, 4 Th 3.43
Bi  0.7500  0.2500  0.7500  4 In 3.43, 4 Th 3.43
Bi  0.7500  0.7500  0.2500  4 In 3.43, 4 Th 3.43
Bi  0.7500  0.7500  0.7500  4 In 3.43, 4 Th 3.43

=====

Entry 2:
The following is a DFT calculation (PBE) of crystalline La8ZnPd2 at its relaxed geometry.

- Density of states at the Fermi level: 15.43 states/eV/f.u.
- Formation enthalpy at 0 K: -2.605 eV/f.u.
- E_tot: -4.88 eV/atom

a = 8.3760 Å, b = 8.3760 Å, c = 5.9255 Å
α = 100.61°, β = 100.61°, γ = 116.69°
Last column: nearest neighbours and their distance in Å.
Positions (direct):
La  0.0000  0.0000  0.0000  1 Zn 3.23, 4 La 3.36-3.57, 2 Pd 3.52
La  0.0574  0.2918  0.6209  2 Pd 2.98-3.02
La  0.1597  0.6256  0.1816  2 Pd 3.06, 1 Zn 3.32
La  0.2918  0.0574  0.6209  2 Pd 2.98-3.02
La  0.4886  0.7214  0.7437  2 Pd 2.98-3.04, 1 La 3.32
La  0.6256  0.1597  0.1816  2 Pd 3.06, 1 Zn 3.32
La  0.7214  0.4886  0.7437  2 Pd 2.98-3.04, 1 La 3.32
La  0.7817  0.7817  0.3652  1 Zn 3.21, 4 La 3.36-3.57, 2 Pd 3.50
Zn  0.3913  0.3913  0.1738  6 La 3.21-3.57
Pd  0.1007  0.6764  0.6794  6 La 2.98-3.06
Pd  0.6764  0.1007  0.6794  6 La 2.98-3.06

=====

Entry 3:
The following is a DFT calculation (PBE) of crystalline Ac2Zn2Ni at its relaxed geometry.

- Density of states at the Fermi level: 3.98 states/eV/f.u.
- Formation enthalpy at 0 K: -1.418 eV/f.u.
- E_tot: -3.59 eV/atom

a = 6.2306 Å, b = 6.2306 Å, c = 12.1908 Å
α = 115.63°, β = 115.63°, γ = 38.65°
Last column: nearest neighbours and their distance in Å.
Positions (direct):
Ac  0.0871  0.0871  0.3816  2 Ni 3.05, 4 Zn 3.18-3.39
Ac  0.2896  0.2896  0.8619  2 Ni 3.10, 7 Zn 3.30-3.37
Ac  0.7104  0.7104  0.1381  2 Ni 3.10, 7 Zn 3.30-3.37
Ac  0.9129  0.9129  0.6184  2 Ni 3.05, 4 Zn 3.18-3.39
Zn  0.0354  0.0354  0.9115  2 Ni 2.54, 1 Zn 2.64
Zn  0.3731  0.3731  0.3775  1 Ni 2.64
Zn  0.6269  0.6269  0.6225  1 Ni 2.64
Zn  0.9646  0.9646  0.0885  2 Ni 2.54, 1 Zn 2.64
Ni  0.4258  0.4258  0.1887  3 Zn 2.54-2.64
Ni  0.5742  0.5742  0.8113  3 Zn 2.54-2.64

=====

Entry 4:
The following is a DFT calculation (PBE) of crystalline Si4HgBr at its relaxed geometry.

- Density of states at the Fermi level: 3.26 states/eV/f.u.
- E_tot: -3.32 eV/atom
- Uncorrected formation energy: 0.62 eV/atom

a = 5.4538 Å, b = 5.4538 Å, c = 5.4538 Å
α = 60.00°, β = 60.00°, γ = 60.00°
Last column: nearest neighbours and their distance in Å.
Positions (direct):
Si  0.1252  0.1252  0.1252  6 Si 2.72-2.73
Si  0.1252  0.1252  0.6243  6 Si 2.72-2.73
Si  0.1252  0.6243  0.1252  6 Si 2.72-2.73
Si  0.6243  0.1252  0.1252  6 Si 2.72-2.73
Hg  0.5000  0.5000  0.5000  12 Si 3.20, 4 Br 3.34
Br  0.7500  0.7500  0.7500  12 Si 3.20, 4 Hg 3.34

=====

Number 2 is which compound? La8ZnPd2

=====

What is the E_tot in the fourth record? -3.32 eV/atom

=====

The lowest E_tot belongs to which entry? La8ZnPd2

=====

What is the density of states at the Fermi level in the first record? 3.54 states/eV/f.u.